[1]
Below is Tb8In2Hg after structural relaxation, with properties calculated at the PBE-GGA level.

extended XYZ file:
```
11
Lattice="-4.147 0.335 3.148 -2.963 -5.309 -3.339 6.839 -4.453 5.161" Properties=species:S:1:pos:R:3 pbc="T T T"
Tb -1.328 -6.129 3.227
Tb 1.798 -5.233 7.250
Hg -2.074 0.167 1.574
In 0.112 -3.895 4.887
Tb 2.285 -6.343 3.685
Tb -2.070 -4.195 -2.281
Tb 1.056 -3.298 1.743
Tb -3.429 -6.305 0.476
Tb -2.556 -3.084 1.284
In -0.384 -5.532 0.083
Tb 3.158 -3.122 4.493
```

The calculation puts the energy of formation at -0.22 eV/atom. The density of states at the Fermi level comes out at 1.144 states/eV/atom.



[2]
Below is Ac3AlIr3 after structural relaxation, with properties calculated at the PBE-GGA level.

extended XYZ file:
```
14
Lattice="4.201 0.000 0.000 -2.100 5.645 0.000 0.000 0.000 14.767" Properties=species:S:1:pos:R:3 pbc="T T T"
Ir 0.000 0.785 1.257
Ac 2.100 3.239 5.802
Ac 0.000 2.407 13.186
Ir 2.100 4.861 8.640
Ac 2.100 3.239 1.581
Ir 2.100 3.104 11.075
Al 2.100 0.000 7.383
Al 2.100 0.000 0.000
Ac 2.100 0.143 3.692
Ac 0.000 2.407 8.965
Ir 2.100 4.861 13.510
Ac 0.000 5.503 11.075
Ir 0.000 0.785 6.127
Ir 0.000 2.541 3.692
```

The calculation puts the energy of formation at -0.67 eV/atom. The density of states at the Fermi level comes out at 0.602 states/eV/atom.



[3]
Below is Hf2ReSnI after structural relaxation, with properties calculated at the PBE-GGA level.

extended XYZ file:
```
5
Lattice="5.365 0.000 0.000 0.000 4.883 0.000 0.000 0.000 5.365" Properties=species:S:1:pos:R:3 pbc="T T T"
Hf 0.000 0.000 2.682
Sn 0.000 0.000 0.000
Re 0.000 2.442 0.000
Hf 2.682 0.000 0.000
I 2.682 2.442 2.682
```

The density of states at the Fermi level comes out at 1.506 states/eV/atom. Its energy is -5.937 eV/atom.



[4]
Below is PmTm2Te4 after structural relaxation, with properties calculated at the PBE-GGA level.

extended XYZ file:
```
14
Lattice="4.262 0.000 0.000 -2.131 7.114 0.000 0.000 0.000 14.865" Properties=species:S:1:pos:R:3 pbc="T T T"
Tm 2.131 5.246 8.450
Pm 0.000 5.320 3.716
Te 2.131 0.000 0.000
Te 0.000 0.561 3.716
Pm 2.131 1.794 11.149
Tm 2.131 5.246 13.848
Te 2.131 3.919 1.771
Te 0.000 3.195 9.204
Te 2.131 3.919 5.662
Tm 0.000 1.868 6.416
Te 2.131 6.553 11.149
Te 2.131 0.000 7.433
Te 0.000 3.195 13.094
Tm 0.000 1.868 1.017
```

The density of states at the Fermi level comes out at 0.364 states/eV/atom. Its energy is -5.096 eV/atom.



[5]
Below is LaCe3Pu2S6 after structural relaxation, with properties calculated at the PBE-GGA level.

extended XYZ file:
```
12
Lattice="-3.713 4.391 -3.934 3.532 -5.213 -2.981 -5.203 -3.636 2.911" Properties=species:S:1:pos:R:3 pbc="T T T"
S -5.285 -1.702 -3.133
Ce -5.125 0.995 -2.322
Pu 1.119 -2.014 -3.298
S -1.415 -1.504 -4.396
Ce -0.259 -5.455 -1.682
S -0.099 -2.758 -0.871
S -2.804 -4.991 -2.806
S -2.580 0.531 -1.197
La 0.000 0.000 0.000
Pu -1.300 1.192 -3.617
Ce -2.692 -2.230 -2.002
S -3.970 -2.956 0.393
```

The density of states at the Fermi level comes out at 2.387 states/eV/atom. Its energy is -8.311 eV/atom.



[6]
Below is CsTlMo3 after structural relaxation, with properties calculated at the PBE-GGA level.

extended XYZ file:
```
5
Lattice="4.971 0.000 0.000 0.000 4.971 0.000 0.000 0.000 4.971" Properties=species:S:1:pos:R:3 pbc="T T T"
Cs 0.000 0.000 0.000
Mo 2.486 0.000 0.000
Tl 2.486 2.486 2.486
Mo 0.000 0.000 2.486
Mo 0.000 2.486 0.000
```

The calculation puts the energy of formation at 3.09 eV/atom. The density of states at the Fermi level comes out at 1.672 states/eV/atom.



[7]
Below is ZnI2 after structural relaxation, with properties calculated at the PBE-GGA level.

extended XYZ file:
```
6
Lattice="4.096 0.000 0.000 2.048 3.547 0.000 2.048 1.181 15.070" Properties=species:S:1:pos:R:3 pbc="T T T"
I 4.096 2.364 1.629
Zn 0.000 0.000 0.000
I 2.048 1.181 5.906
I 4.096 2.363 13.441
Zn 4.096 2.364 7.535
I 6.144 3.546 9.164
```

The density of states at the Fermi level comes out at 0.000 states/eV/atom. Its energy is -1.917 eV/atom.



[8]
Below is AlCuAsSe2 after structural relaxation, with properties calculated at the PBE-GGA level.

extended XYZ file:
```
5
Lattice="4.956 0.000 0.000 0.000 4.956 0.000 0.000 0.000 4.521" Properties=species:S:1:pos:R:3 pbc="T T T"
Cu 0.000 0.000 0.000
Se 2.478 0.000 0.000
Al 2.478 2.478 2.261
As 0.000 0.000 2.261
Se 0.000 2.478 0.000
```

The density of states at the Fermi level comes out at 1.025 states/eV/atom. Its energy is -3.390 eV/atom.